Entry 1:
Below is a geometry-optimized TaAgPb2 structure, with properties calculated at the PBE level.

energy of formation from the pure elements: 488 meV per atom
E above lowest polymorph: 15.1 kJ per mole of atoms
DFT total energy: -20.17 eV per cell

Cell lengths 3.1579, 3.1579, 9.3838 Å; angles 90.00, 90.00, 90.00 degrees
Atoms (fractional coordinates):
Ta (0.0000, 0.0000, 0.0000)
Ag (0.0000, 0.0000, 0.5000)
Pb (0.5000, 0.5000, 0.2414)
Pb (0.5000, 0.5000, 0.7586)

Entry 2:
Below is a geometry-optimized CsV3H structure, with properties calculated at the PBE level.

E above lowest polymorph: 0.0 kJ per mole of atoms
DFT total energy: -24.26 eV per cell

Cell lengths 4.1692, 4.1692, 4.1692 Å; angles 90.00, 90.00, 90.00 degrees
Atoms (fractional coordinates):
Cs (0.0000, 0.0000, 0.0000)
V (0.0000, 0.5000, 0.5000)
V (0.5000, 0.0000, 0.5000)
V (0.5000, 0.5000, 0.0000)
H (0.5000, 0.5000, 0.5000)